(1)
VASP calculation (PBE) on a relaxed GaHgI4 crystal.

Unit cell a=7.8810 b=4.1440 c=16.0899 alpha=90.00 beta=115.77 gamma=90.00
With the nearest neighbours (Å) after each atom.
Fractional positions:
Ga  0.0000  0.0000  0.0000  6 I 2.97-3.22
Ga  0.0000  0.5000  0.5000  6 I 2.97-3.22
Hg  0.5000  0.0000  0.5000  2 I 2.78
Hg  0.5000  0.5000  0.0000  2 I 2.78
I  0.0316  0.0012  0.3750  2 Ga 2.97-2.98
I  0.0316  0.4988  0.8750  2 Ga 2.97-2.98
I  0.4475  0.0772  0.1209  1 Hg 2.78
I  0.4475  0.4228  0.6209  1 Hg 2.78
I  0.5525  0.5772  0.3791  1 Hg 2.78
I  0.5525  0.9228  0.8791  1 Hg 2.78
I  0.9684  0.5012  0.1250  2 Ga 2.97-2.98
I  0.9684  0.9988  0.6250  2 Ga 2.97-2.98

Energy relative to the elements, uncorrected ... -0.25 eV/atom

***

(2)
VASP calculation (PBE) on a relaxed ErTh2Os crystal.

Unit cell a=3.6573 b=3.6573 c=8.1364 alpha=90.00 beta=90.00 gamma=90.00
With the nearest neighbours (Å) after each atom.
Fractional positions:
Er  0.0000  0.0000  0.0000  8 Th 3.54, 4 Er 3.66
Th  0.5000  0.5000  0.2979  4 Os 3.06, 1 Th 3.29
Th  0.5000  0.5000  0.7021  4 Os 3.06, 1 Th 3.29
Os  0.0000  0.0000  0.5000  8 Th 3.06

E_form ... 0.01 eV per atom

***

no.,relative energy among the computed polymorphs (meV per atom),total moment (μB per cell)
1,73,0.00
2,236,0.00